8
Lattice="5.729 0.000 0.000 0.000 3.308 0.000 -1.910 0.000 5.455" Properties=species:S:1:pos:R:3 comment="Er2HfZrN4, optimized geometry, DFT PBE" final_energy_ev_per_atom=-9.41 total_magnetization_mub_per_fu=0.00 crystal_system=monoclinic rho_g_cm3=10.60 raw_formation_energy_kcal_per_mol_atoms=-41.36 pbc="T T T"
Er 0.000 0.000 0.000
Er 2.864 1.654 0.000
Hf -0.955 1.654 2.727
Zr 1.909 0.000 2.727
N -0.024 0.000 3.993
N 0.927 1.654 1.445
N 2.892 1.654 4.009
N 3.843 0.000 1.462



8
Lattice="4.896 0.000 0.000 -2.448 4.240 0.000 0.000 0.000 11.635" Properties=species:S:1:pos:R:3 comment="BaLi2In, optimized geometry, DFT PBE" final_energy_ev_per_atom=-2.34 total_magnetization_mub_per_fu=0.00 e_form_ev_per_atom=-0.22 crystal_system=hexagonal rho_g_cm3=3.66 pbc="T T T"
Ba 0.000 2.827 2.909
Ba 2.448 1.413 8.726
Li 0.000 2.827 6.298
Li 0.000 2.827 11.154
Li 2.448 1.413 0.481
Li 2.448 1.413 5.336
In 0.000 0.000 0.000
In 0.000 0.000 5.817



12
Lattice="2.667 1.540 8.721 -2.667 1.540 8.721 0.000 -3.079 8.721" Properties=species:S:1:pos:R:3 comment="Dy3PuRh8, optimized geometry, DFT PBE" final_energy_ev_per_atom=-7.92 total_magnetization_mub_per_fu=5.00 e_form_ev_per_atom=-0.67 crystal_system=trigonal rho_g_cm3=12.02 pbc="T T T"
Dy 0.000 0.000 0.000
Dy 0.000 0.000 3.292
Dy 0.000 0.000 16.341
Pu 0.000 0.000 13.088
Rh 0.000 -1.538 5.997
Rh -1.332 0.769 5.997
Rh -1.331 -0.768 10.358
Rh 0.000 0.000 8.179
Rh 1.332 0.769 5.997
Rh 1.331 -0.768 10.358
Rh 0.000 1.537 10.358
Rh 0.000 0.000 21.259



5
Lattice="4.827 0.000 0.000 0.000 4.827 0.000 0.000 0.000 4.827" Properties=species:S:1:pos:R:3 comment="MgScTi3, optimized geometry, DFT PBE" relative_energy_mev_per_atom=18 final_energy_ev_per_atom=-5.19 total_magnetization_mub_per_fu=1.95 e_form_ev_per_atom=1.13 crystal_system=cubic rho_g_cm3=3.14 pbc="T T T"
Mg 0.000 0.000 0.000
Sc 2.414 2.414 2.414
Ti 0.000 0.000 2.414
Ti 0.000 2.414 0.000
Ti 2.414 0.000 0.000



Question: Which formula does entry 4 have?
Answer: MgScTi3